A relaxed structure of Pr2MgTl8. Source: the Alexandria database, functional PBE-GGA.

Calculated formation energy in eV/atom: -0.22
Calculated volume in Å³ per atom: 28.70
D(E_F) in states/eV/f.u.: 3.8

a b c (Å): 5.049 5.049 12.384
angles (deg): 90.00 90.00 90.00
Space group P4/mmm (No. 123)
One atom of each set of equivalent atoms:
Pr1 0.000 0.000 0.189 [2 per cell]
Mg1 0.000 0.000 0.500 [1 per cell]
Tl1 0.000 0.500 0.000 [2 per cell]
Tl2 0.000 0.500 0.368 [4 per cell]
Tl3 0.500 0.500 0.186 [2 per cell]